The following is a DFT calculation (PBE+U) of crystalline ScTc2WO at its relaxed geometry.

Cell lengths 4.7085, 5.4334, 4.7085 Å; angles 90.00, 90.00, 90.00 degrees
Last column: nearest neighbours and their distance in Å.
Atoms (fractional coordinates):
1 Tc 0.0000 0.0000 0.5000  2 W 2.35
2 Tc 0.5000 0.0000 0.0000  2 W 2.35
3 W 0.0000 0.0000 0.0000  4 Tc 2.35
4 O 0.5000 0.5000 0.5000  4 Sc 3.33, 8 Tc 3.59
5 Sc 0.0000 0.5000 0.0000  2 W 2.72

Output
The calculation puts the theoretical density at 6.076 g/cm3. The total magnetization comes out at 3.32 μB/f.u. The value obtained for the density of states at the Fermi level is 5.28 states/eV/f.u. The calculation puts the final energy at -5.9410 eV/atom.